Below is an optimized crystal structure of MnGeSbTe2, with properties calculated at the GGA-PBE level.

Cell: 5.373 5.373 5.376 Å, 90.00 90.00 90.00°
Site moments in Bohr magnetons follow the coordinates.
Fractional coordinates of all 5 atoms:
Sb  0.000  0.000  0.500  -0.21
Te  0.000  0.500  0.000  -0.05
Te  0.500  0.000  0.000  -0.05
Ge  0.000  0.000  0.000  -0.01
Mn  0.500  0.500  0.500  4.45

Values from the calculation:
**Final energy**: -4.071 eV per atom
**Polymorph energy (0 for the lowest one)**: 315 meV/atom
**E_form (uncorrected)**: 0.77 eV/atom
**Magnetization**: 4.22 μB/cell